Record 1
Material: Sm4Zn
Method: DFT, GGA-PBE
State: relaxed

Unit cell a=5.5803 b=5.5803 c=5.5803 alpha=90.00 beta=90.00 gamma=90.00
Closest atoms and distances in Å follow each position.
Atoms (fractional coordinates):
Sm1 0.0000 0.0000 0.0000  12 Sm 3.95
Sm2 0.0000 0.5000 0.5000  2 Zn 2.79
Sm3 0.5000 0.0000 0.5000  2 Zn 2.79
Sm4 0.5000 0.5000 0.0000  2 Zn 2.79
Zn1 0.5000 0.5000 0.5000  6 Sm 2.79

Energy relative to the elements (eV/atom): 0.196
Relative energy among the computed polymorphs (meV per atom): 316.1
Calculated total energy (eV/cell): -19.17

***

Record 2
Material: Sm2ZrZn6
Method: DFT, GGA-PBE
State: relaxed

Unit cell a=7.7829 b=7.7829 c=3.3885 alpha=90.00 beta=90.00 gamma=120.00
Closest atoms and distances in Å follow each position.
Atoms (fractional coordinates):
Sm1 0.3333 0.6667 0.0000  12 Zn 3.13, 2 Sm 3.39
Sm2 0.6667 0.3333 0.0000  12 Zn 3.13, 2 Sm 3.39
Zr1 0.0000 0.0000 0.0000  12 Zn 3.04, 2 Zr 3.39
Zn1 0.0000 0.3244 0.5000  3 Zn 2.52-2.73
Zn2 0.0000 0.6756 0.5000  3 Zn 2.52-2.73
Zn3 0.3244 0.0000 0.5000  3 Zn 2.52-2.73
Zn4 0.3244 0.3244 0.5000  3 Zn 2.52-2.73
Zn5 0.6756 0.0000 0.5000  3 Zn 2.52-2.73
Zn6 0.6756 0.6756 0.5000  3 Zn 2.52-2.73

Energy relative to the elements (eV/atom): -0.312
Calculated total energy (eV/cell): -28.44